BeW2SF, relaxed, DFT PBE with a Hubbard U; total DFT energy (no corrections) = -3.74 eV/atom; Fermi-level density of states = 2.499 states/eV/f.u.; total magnetization = 3.0 μB per cell; SG = No. 123
1.0
-0.360 -0.680 4.581
-1.035 -4.467 -0.744
3.746 -0.895 0.162
Be S W F
1 1 2 1
direct
0.000 0.000 0.500
0.000 0.000 0.000
0.000 0.500 0.000
0.500 0.000 0.000
0.500 0.500 0.500